Entry 1:
# NaGeAs

NaGeAs after structural relaxation (PBE, the Alexandria database).

The space group is P-1 (No. 2) and the conventional cell measures 3.7784, 6.0154 and 6.8469 Å, with angles of 79.75, 74.00 and 71.80 degrees. The distinct sites, in fractional coordinates, are Na at (0.0717, 0.2242, 0.1353), Ge at (0.3767, 0.2284, 0.5205) and As at (0.2828, 0.6821, 0.2497).

As for the total energy: -3.750 eV/atom. Its calculated formation energy is -0.664 eV per formula unit. The density is 4.0 Mg/m³.

Entry 2:
# NaGeAs

NaGeAs after structural relaxation (PBE, the Alexandria database).

The space group is P-6m2 (No. 187) and the conventional cell measures 4.8303, 4.8303 and 3.1262 Å, with angles of 90.00, 90.00 and 120.00 degrees. The distinct sites, in fractional coordinates, are Na at (0.0000, 0.0000, 0.0000), Ge at (0.6667, 0.3333, 0.5000) and As at (0.3333, 0.6667, 0.5000).

As for the total energy: -3.585 eV/atom. Its calculated formation energy is -0.169 eV per formula unit. The density is 4.5 Mg/m³.

Entry 3:
# NaGe2As

NaGe2As after structural relaxation (PBE, the Alexandria database).

The space group is I-42d (No. 122) and the conventional cell measures 7.7651, 7.7651 and 5.9817 Å, with angles of 90.00, 90.00 and 90.00 degrees. The distinct sites, in fractional coordinates, are Na at (0.0000, 0.0000, 0.0000), Ge at (0.2022, 0.2500, 0.6250) and As at (0.0000, 0.0000, 0.5000).

As for the total energy: -3.783 eV/atom. Its calculated formation energy is 0.071 eV per formula unit. The density is 4.5 Mg/m³.

Entry 4:
# NaGeAs2

NaGeAs2 after structural relaxation (PBE, the Alexandria database).

The space group is R-3m (No. 166, hexagonal axes) and the conventional cell measures 3.6317, 3.6317 and 23.1905 Å, with angles of 90.00, 90.00 and 120.00 degrees. The distinct sites, in fractional coordinates, are Na at (0.0000, 0.0000, 0.0000), Ge at (0.0000, 0.0000, 0.5000) and As at (0.0000, 0.0000, 0.2347).

As for the total energy: -3.826 eV/atom. Its calculated formation energy is -0.067 eV per formula unit. The density is 4.6 Mg/m³.

Entry 5:
# Na3GeAs3

Na3GeAs3 after structural relaxation (PBE, the Alexandria database).

The space group is R3m (No. 160, hexagonal axes) and the conventional cell measures 9.7742, 9.7742 and 6.0977 Å, with angles of 90.00, 90.00 and 120.00 degrees. The distinct sites, in fractional coordinates, are Na at (0.1925, 0.3849, 0.0000), Ge at (0.0000, 0.0000, 0.7675) and As at (0.1902, 0.3804, 0.5004).

As for the total energy: -3.385 eV/atom. Its calculated formation energy is -1.170 eV per formula unit. The density is 3.6 Mg/m³.

Entry 6:
# Na5Ge2As4

Na5Ge2As4 after structural relaxation (PBE, the Alexandria database).

The space group is C2/m (No. 12) and the conventional cell measures 17.6237, 3.8906 and 9.1891 Å, with angles of 90.00, 111.87 and 90.00 degrees. The distinct sites, in fractional coordinates, are Na at (0.0000, 0.0000, 0.0000), Na at (0.1667, 0.5000, 0.4508), Na at (0.1731, 0.5000, 0.9437), Ge at (0.0473, 0.0000, 0.6443), As at (0.9996, 0.5000, 0.2385) and As at (0.1982, 0.0000, 0.7138).

As for the total energy: -3.403 eV/atom. Its calculated formation energy is -3.008 eV per formula unit. The density is 3.2 Mg/m³.

Entry 7:
# Na3Ge2As3

Na3Ge2As3 after structural relaxation (PBE, the Alexandria database).

The space group is Cmcm (No. 63) and the conventional cell measures 4.7810, 11.1391 and 13.8585 Å, with angles of 90.00, 90.00 and 90.00 degrees. The distinct sites, in fractional coordinates, are Na at (0.0000, 0.0535, 0.1189), Na at (0.0000, 0.3323, 0.2500), Ge at (0.0000, 0.2377, 0.5989), As at (0.0000, 0.3792, 0.7500) and As at (0.0000, 0.3906, 0.0401).

As for the total energy: -3.598 eV/atom. Its calculated formation energy is -1.646 eV per formula unit. The density is 4.0 Mg/m³.

Entry 8:
# NaGeAs2

NaGeAs2 after structural relaxation (PBE, the Alexandria database).

The space group is Pna2_1 (No. 33) and the conventional cell measures 8.2106, 8.6759 and 5.6465 Å, with angles of 90.00, 90.00 and 90.00 degrees. The distinct sites, in fractional coordinates, are Na at (0.0802, 0.0986, 0.0000), Ge at (0.0468, 0.3325, 0.4296), As at (0.1695, 0.4946, 0.0860) and As at (0.2338, 0.8336, 0.2405).

As for the total energy: -3.908 eV/atom. Its calculated formation energy is -0.397 eV per formula unit. The density is 4.1 Mg/m³.

Entry 9:
# NaGe2As2

NaGe2As2 after structural relaxation (PBE, the Alexandria database).

The space group is I4/mmm (No. 139) and the conventional cell measures 4.6942, 4.6942 and 11.5560 Å, with angles of 90.00, 90.00 and 90.00 degrees. The distinct sites, in fractional coordinates, are Na at (0.0000, 0.0000, 0.0000), Ge at (0.0000, 0.5000, 0.2500) and As at (0.0000, 0.0000, 0.3560).

As for the total energy: -3.955 eV/atom. Its calculated formation energy is 0.079 eV per formula unit. The density is 4.1 Mg/m³.

Entry 10:
# NaGeAs

NaGeAs after structural relaxation (PBE, the Alexandria database).

The space group is Immm (No. 71) and the conventional cell measures 4.8181, 5.2308 and 13.7174 Å, with angles of 90.00, 90.00 and 90.00 degrees. The distinct sites, in fractional coordinates, are Na at (0.0000, 0.0000, 0.1382), Ge at (0.0000, 0.2745, 0.5000) and As at (0.0000, 0.0000, 0.3559).

As for the total energy: -3.538 eV/atom. Its calculated formation energy is -0.028 eV per formula unit. The density is 3.3 Mg/m³.

Entry 11:
# NaGeAs2

NaGeAs2 after structural relaxation (PBE, the Alexandria database).

The space group is I-42d (No. 122) and the conventional cell measures 7.3041, 7.3041 and 7.1549 Å, with angles of 90.00, 90.00 and 90.00 degrees. The distinct sites, in fractional coordinates, are Na at (0.0000, 0.0000, 0.0000), Ge at (0.0000, 0.0000, 0.5000) and As at (0.1921, 0.7500, 0.6250).

As for the total energy: -3.862 eV/atom. Its calculated formation energy is -0.212 eV per formula unit. The density is 4.3 Mg/m³.

Entry 12:
# NaGeAs

NaGeAs after structural relaxation (PBE, the Alexandria database).

The space group is R3m (No. 160, hexagonal axes) and the conventional cell measures 3.8165, 3.8165 and 17.3335 Å, with angles of 90.00, 90.00 and 120.00 degrees. The distinct sites, in fractional coordinates, are Na at (0.0000, 0.0000, 0.0000), Ge at (0.0000, 0.0000, 0.2001) and As at (0.0000, 0.0000, 0.7940).

As for the total energy: -3.816 eV/atom. Its calculated formation energy is -0.863 eV per formula unit. The density is 3.9 Mg/m³.